No. 1
# La3Re5 PBE relaxed
data_La3Re5
_chemical_formula_sum 'La3 Re5'
_cell_length_a 5.963
_cell_length_b 5.963
_cell_length_c 4.806
_cell_angle_alpha 90.00
_cell_angle_beta 90.00
_cell_angle_gamma 104.23
_space_group_name_H-M_alt 'P 1'
_space_group_IT_number 1
_space_group_name_Hall 'P 1'
loop_
_atom_site_label
_atom_site_fract_x
_atom_site_fract_y
_atom_site_fract_z
La1 0.280 0.720 0.500
La2 0.500 0.500 0.000
La3 0.720 0.280 0.500
Re1 0.831 0.831 0.500
Re2 0.000 0.500 0.000
Re3 0.000 0.000 0.000
Re4 0.500 0.000 0.000
Re5 0.169 0.169 0.500
# excess energy over the best structure of this formula in the dataset = 2.72 eV per formula unit
# total magnetic moment = 0.0 μB/cell
# ΔH_f (0 K) = 731 meV/atom



No. 2
# TiCoMo3 PBE relaxed
data_TiCoMo3
_chemical_formula_sum 'Ti1 Co1 Mo3'
_cell_length_a 4.488
_cell_length_b 4.488
_cell_length_c 4.488
_cell_angle_alpha 90.00
_cell_angle_beta 90.00
_cell_angle_gamma 90.00
_space_group_name_H-M_alt 'P 1'
_space_group_IT_number 1
_space_group_name_Hall 'P 1'
loop_
_atom_site_label
_atom_site_fract_x
_atom_site_fract_y
_atom_site_fract_z
Mo1 0.000 0.000 0.500
Mo2 0.000 0.500 0.000
Mo3 0.500 0.000 0.000
Co1 0.500 0.500 0.500
Ti1 0.000 0.000 0.000
# excess energy over the best structure of this formula in the dataset = 3.74 eV per formula unit
# total magnetic moment = 0.0 μB/cell
# ΔH_f (0 K) = 1774 meV/atom



No. 3
# Fe5Ni4 PBE relaxed
data_Fe5Ni4
_chemical_formula_sum 'Fe10 Ni8'
_cell_length_a 7.028
_cell_length_b 7.028
_cell_length_c 4.871
_cell_angle_alpha 90.00
_cell_angle_beta 90.00
_cell_angle_gamma 60.00
_space_group_name_H-M_alt 'P 1'
_space_group_IT_number 1
_space_group_name_Hall 'P 1'
loop_
_atom_site_label
_atom_site_fract_x
_atom_site_fract_y
_atom_site_fract_z
Ni1 0.328 0.672 0.750
Ni2 0.672 0.000 0.750
Ni3 0.000 0.000 0.500
Ni4 0.000 0.000 0.000
Ni5 0.672 0.328 0.250
Ni6 0.000 0.328 0.750
Ni7 0.328 0.000 0.250
Ni8 0.000 0.672 0.250
Fe1 0.337 0.000 0.750
Fe2 0.663 0.000 0.250
Fe3 0.000 0.663 0.750
Fe4 0.333 0.333 0.500
Fe5 0.663 0.337 0.750
Fe6 0.000 0.337 0.250
Fe7 0.667 0.667 0.500
Fe8 0.337 0.663 0.250
Fe9 0.667 0.667 0.000
Fe10 0.333 0.333 0.000
# excess energy over the best structure of this formula in the dataset = 0.66 eV per formula unit
# total magnetic moment = 31.8 μB/cell
# ΔH_f (0 K) = 57 meV/atom



No. 4
# Rb4Ac3PaTe8 PBE relaxed
data_Rb4Ac3PaTe8
_chemical_formula_sum 'Rb4 Ac3 Pa1 Te8'
_cell_length_a 9.598
_cell_length_b 10.236
_cell_length_c 9.598
_cell_angle_alpha 117.96
_cell_angle_beta 120.00
_cell_angle_gamma 90.00
_space_group_name_H-M_alt 'P 1'
_space_group_IT_number 1
_space_group_name_Hall 'P 1'
loop_
_atom_site_label
_atom_site_fract_x
_atom_site_fract_y
_atom_site_fract_z
Ac1 0.000 0.500 0.500
Ac2 0.500 0.500 0.000
Ac3 0.500 0.500 0.500
Te1 0.261 0.283 0.522
Te2 0.771 0.291 0.543
Te3 0.751 0.708 0.980
Te4 0.249 0.292 0.020
Te5 0.771 0.292 0.020
Te6 0.739 0.717 0.478
Te7 0.229 0.708 0.980
Te8 0.229 0.709 0.457
Pa1 0.000 0.500 0.000
Rb1 0.000 0.000 0.000
Rb2 0.000 0.000 0.500
Rb3 0.500 0.000 0.000
Rb4 0.500 0.000 0.500
# uncorrected formation energy = -1.323 eV/atom
# total magnetic moment = 1.9 μB/cell



No. 5
# CuP2Ru PBE relaxed
data_CuP2Ru
_chemical_formula_sum 'Cu1 P2 Ru1'
_cell_length_a 2.840
_cell_length_b 2.880
_cell_length_c 6.967
_cell_angle_alpha 90.34
_cell_angle_beta 90.00
_cell_angle_gamma 90.00
_space_group_name_H-M_alt 'P 1'
_space_group_IT_number 1
_space_group_name_Hall 'P 1'
loop_
_atom_site_label
_atom_site_fract_x
_atom_site_fract_y
_atom_site_fract_z
P1 0.000 0.747 0.033
P2 0.000 0.753 0.467
Ru1 0.500 0.250 0.250
Cu1 0.500 0.750 0.750
# excess energy over the best structure of this formula in the dataset = 0.63 eV per formula unit
# total magnetic moment = 0.0 μB/cell
# ΔH_f (0 K) = 6 meV/atom



No. 6
# AlNi3 PBE relaxed
data_AlNi3
_chemical_formula_sum 'Al1 Ni3'
_cell_length_a 3.563
_cell_length_b 3.563
_cell_length_c 3.568
_cell_angle_alpha 90.00
_cell_angle_beta 90.00
_cell_angle_gamma 90.00
_space_group_name_H-M_alt 'P 1'
_space_group_IT_number 1
_space_group_name_Hall 'P 1'
loop_
_atom_site_label
_atom_site_fract_x
_atom_site_fract_y
_atom_site_fract_z
Al1 0.500 0.000 0.583
Ni1 0.500 0.500 0.083
Ni2 0.000 0.500 0.583
Ni3 0.000 0.000 0.083
# total magnetic moment = 0.7 μB/cell
# ΔH_f (0 K) = -431 meV/atom



no.,DFT total energy (eV/cell)
1,-71.18
2,-38.62
3,-129.86
4,-71.99
5,-24.17
6,-22.81